The following is a GGA-PBE calculation of an optimized crystal structure of Ba3Na2Ca5, from the Alexandria database.

It has space group Ibam (No. 72), with a = 10.8254 Å, b = 16.2651 Å, c = 11.7267 Å, α = 90.00°, β = 90.00° and γ = 90.00°. The inequivalent atoms are Ba at (0.0000, 0.0000, 0.2500), Ba at (0.2268, 0.3677, 0.0000), Na at (0.0604, 0.1484, 0.0000), Ca at (0.0000, 0.2603, 0.2500), Ca at (0.0000, 0.5000, 0.2500) and Ca at (0.1368, 0.3833, 0.5000).

The formation energy is 0.18 eV/atom. The density of states at the Fermi level is 1.255 states/eV/atom.